1.
The following is a DFT calculation (PBE-GGA) of a relaxed structure of AlHgN3.

The value obtained for the total energy is -16.2 eV for the cell shown.

The structure belongs to space group Pm-3m (No. 221); the cell edges are 4.123, 4.123 and 4.123 Å and the angles 90.00°, 90.00° and 90.00°. The distinct sites, in fractional coordinates, are Al at (0.000, 0.000, 0.000), Hg at (0.500, 0.500, 0.500) and N at (0.000, 0.500, 0.500).

***

2.
The following is a DFT calculation (PBE-GGA) of a relaxed structure of LaErAl2Zn2.

The calculated formation energy comes out at -451 meV per atom.

The structure belongs to space group P-3m1 (No. 164); the cell edges are 4.5215, 4.5215 and 7.5154 Å and the angles 90.00°, 90.00° and 120.00°. The distinct sites, in fractional coordinates, are La at (0.0000, 0.0000, 0.0000), Er at (0.0000, 0.0000, 0.5000), Al at (0.3333, 0.6667, 0.7209) and Zn at (0.3333, 0.6667, 0.2905).

***

3.
The following is a DFT calculation (PBE-GGA) of a relaxed structure of Ag4Cl3F.

The value obtained for the total energy is -46.6 eV for the cell shown.

The structure belongs to space group Pmn2_1 (No. 31); the cell edges are 8.930, 7.775 and 5.576 Å and the angles 90.00°, 90.00° and 90.00°. The distinct sites, in fractional coordinates, are Ag at (0.000, 0.129, 0.000), Ag at (0.000, 0.817, 0.499), Ag at (0.236, 0.680, 0.000), Cl at (0.000, 0.150, 0.500), Cl at (0.245, 0.332, 0.000) and F at (0.000, 0.825, 0.999).

***

| no. | total magnetic moment (μB per formula unit) |
| --- | --- |
| 1 | 0.3 |
| 2 | 0.0 |
| 3 | 0.0 |